Na2MnH5 | PBE | optimized geometry

Results
The spin magnetization comes out at 7.999 μB/cell. For the electronic total energy, the calculation gives -29.182 eV per formula unit.

Unit cell a=6.444 b=4.885 c=10.034 alpha=90.00 beta=90.00 gamma=90.00
Positions (direct):
Na  0.009  0.250  0.221
Na  0.152  0.750  0.420
Na  0.348  0.250  0.920
Na  0.491  0.750  0.721
Na  0.509  0.250  0.279
Na  0.652  0.750  0.080
Na  0.848  0.250  0.580
Na  0.991  0.750  0.779
Mn  0.153  0.750  0.056
Mn  0.347  0.250  0.556
Mn  0.653  0.750  0.444
Mn  0.847  0.250  0.944
H  0.000  0.000  0.000
H  0.000  0.500  0.000
H  0.038  0.750  0.199
H  0.193  0.025  0.619
H  0.193  0.475  0.619
H  0.198  0.250  0.418
H  0.302  0.750  0.918
H  0.307  0.525  0.119
H  0.307  0.975  0.119
H  0.462  0.250  0.699
H  0.500  0.000  0.500
H  0.500  0.500  0.500
H  0.538  0.750  0.301
H  0.693  0.025  0.881
H  0.693  0.475  0.881
H  0.698  0.250  0.082
H  0.802  0.750  0.582
H  0.807  0.525  0.381
H  0.807  0.975  0.381
H  0.962  0.250  0.801

---

NaMn2NiH8 | PBE | optimized geometry

Results
The spin magnetization comes out at 4.291 μB/cell. For the electronic total energy, the calculation gives -51.360 eV per formula unit.

Unit cell a=2.930 b=4.574 c=5.817 alpha=90.00 beta=90.00 gamma=90.00
Positions (direct):
Na  0.000  0.000  0.000
Mn  0.500  0.500  0.265
Mn  0.500  0.500  0.735
Ni  0.000  0.000  0.500
H  0.000  0.282  0.281
H  0.000  0.282  0.719
H  0.000  0.718  0.281
H  0.000  0.718  0.719
H  0.500  0.240  0.500
H  0.500  0.320  0.000
H  0.500  0.680  0.000
H  0.500  0.760  0.500

---

NaMnNiH4 | PBE | optimized geometry

Results
The spin magnetization comes out at 0.795 μB/cell. For the electronic total energy, the calculation gives -29.971 eV per formula unit.

Unit cell a=5.038 b=4.263 c=5.651 alpha=90.00 beta=96.65 gamma=90.00
Positions (direct):
Na  0.240  0.250  0.087
Na  0.760  0.750  0.913
Mn  0.109  0.750  0.469
Mn  0.891  0.250  0.531
Ni  0.392  0.250  0.598
Ni  0.608  0.750  0.402
H  0.115  0.018  0.698
H  0.115  0.482  0.698
H  0.302  0.750  0.241
H  0.415  0.750  0.613
H  0.585  0.250  0.387
H  0.698  0.250  0.759
H  0.885  0.518  0.302
H  0.885  0.982  0.302

---

Among the records above, which one has the highest electronic total energy? Na2MnH5